A relaxed TiVO4 crystal, computed with PBE with a Hubbard U.

Values from the calculation:
- VASP energy: -8.3473 eV per atom
- Calculated volume: 63.0 Å³ per cell
- Space group: Cmmm (65)

Lattice parameters (Å, degrees): 3.003 4.582 4.582 90.33 90.00 90.00
Fractional coordinates of all 6 atoms:
Ti 0.500 0.500 0.500
V 0.000 0.000 0.000
O 0.000 0.301 0.301
O 0.000 0.699 0.699
O 0.500 0.804 0.196
O 0.500 0.196 0.804